DFT (PBE with a Hubbard U) results for a relaxed structure of Cs2TiCoF6.

Cell and atoms, written as POSCAR:
```
Cs2TiCoF6
1.0
-3.1442 3.1442 4.2567
3.1442 -3.1442 4.2567
3.1442 3.1442 -4.2567
Cs Ti Co F
2 1 1 6
Direct
0.2500 0.7500 0.5000
0.7500 0.2500 0.5000
0.0000 0.0000 0.0000
0.5000 0.5000 0.0000
0.2253 0.2253 0.4506
0.2253 0.7747 0.0000
0.2429 0.2429 0.0000
0.7571 0.7571 0.0000
0.7747 0.2253 0.0000
0.7747 0.7747 0.5494
```

Output
The calculation puts the raw total energy at -5.228 eV per atom.